Density functional theory data (PBE-GGA) for an optimized crystal structure of Ta6Ti2Pt.

Magnetic moment in μB/f.u.: 0.000
SG: No. 2
E_form in eV/atom: -0.17

a = 5.429 Å, b = 7.049 Å, c = 4.674 Å
α = 70.69°, β = 89.97°, γ = 69.93°
Sites, in units of the cell vectors:
Ti1 0.887 0.448 0.776
Ta1 0.668 0.336 0.333
Ta2 0.332 0.664 0.667
Ta3 0.775 0.890 0.555
Ta4 0.556 0.772 0.114
Ta5 0.225 0.110 0.445
Pt1 0.000 0.000 0.000
Ta6 0.444 0.228 0.886
Ti2 0.113 0.552 0.224

=====

Density functional theory data (PBE-GGA) for an optimized crystal structure of Tl4RuAu.

Magnetic moment in μB/f.u.: 1.877
SG: No. 216
E_form in eV/atom: 0.91

a = 6.118 Å, b = 6.118 Å, c = 6.118 Å
α = 60.00°, β = 60.00°, γ = 60.00°
Sites, in units of the cell vectors:
Ru1 0.000 0.000 0.000
Tl1 0.875 0.375 0.375
Tl2 0.375 0.375 0.875
Tl3 0.375 0.375 0.375
Au1 0.750 0.750 0.750
Tl4 0.375 0.875 0.375

=====

Density functional theory data (PBE-GGA) for an optimized crystal structure of LiB5Rh6.

Magnetic moment in μB/f.u.: 0.000
SG: No. 2
E_form in eV/atom: -0.35

a = 6.393 Å, b = 6.568 Å, c = 5.332 Å
α = 68.67°, β = 126.80°, γ = 127.28°
Sites, in units of the cell vectors:
Rh1 0.114 0.252 0.421
Rh2 0.886 0.748 0.579
B1 0.000 0.500 0.000
B2 0.394 0.500 0.788
B3 0.299 0.000 0.598
Li1 0.000 0.000 0.000
Rh3 0.306 0.748 0.421
Rh4 0.406 0.733 0.000
B4 0.701 0.000 0.402
Rh5 0.594 0.267 0.000
Rh6 0.694 0.252 0.579
B5 0.606 0.500 0.212

=====

Density functional theory data (PBE-GGA) for an optimized crystal structure of LaEr5Al4.

Magnetic moment in μB/f.u.: 0.000
SG: No. 123
E_form in eV/atom: -0.31

a = 3.552 Å, b = 3.552 Å, c = 19.757 Å
α = 90.00°, β = 90.00°, γ = 90.00°
Sites, in units of the cell vectors:
Al1 0.000 0.000 0.227
Er1 0.500 0.500 0.319
Er2 0.500 0.500 0.681
La1 0.000 0.000 0.000
Al2 0.000 0.000 0.773
Er3 0.500 0.500 0.864
Er4 0.500 0.500 0.136
Al3 0.000 0.000 0.409
Er5 0.500 0.500 0.500
Al4 0.000 0.000 0.591

=====

Density functional theory data (PBE-GGA) for an optimized crystal structure of AlV4Os5.

Magnetic moment in μB/f.u.: 0.000
SG: No. 123
E_form in eV/atom: -0.34

a = 3.009 Å, b = 3.009 Å, c = 15.203 Å
α = 90.00°, β = 90.00°, γ = 90.00°
Sites, in units of the cell vectors:
V1 0.000 0.000 0.601
Os1 0.500 0.500 0.698
Os2 0.500 0.500 0.302
V2 0.000 0.000 0.198
Os3 0.500 0.500 0.898
Os4 0.500 0.500 0.102
V3 0.000 0.000 0.802
Al1 0.000 0.000 0.000
V4 0.000 0.000 0.399
Os5 0.500 0.500 0.500

=====

Density functional theory data (PBE-GGA) for an optimized crystal structure of AcIn2GaIr2.

Magnetic moment in μB/f.u.: 0.004
SG: No. 123
E_form in eV/atom: -0.23

a = 4.766 Å, b = 4.766 Å, c = 6.149 Å
α = 90.00°, β = 90.00°, γ = 90.00°
Sites, in units of the cell vectors:
In1 0.500 0.500 0.746
Ir1 0.500 0.000 0.000
In2 0.500 0.500 0.254
Ir2 0.000 0.500 0.000
Ga1 0.000 0.000 0.000
Ac1 0.000 0.000 0.500

=====

Density functional theory data (PBE-GGA) for an optimized crystal structure of PmGaCu2Au4.

Magnetic moment in μB/f.u.: 0.000
SG: No. 166
E_form in eV/atom: -0.30

a = 4.446 Å, b = 4.446 Å, c = 9.110 Å
α = 75.87°, β = 75.87°, γ = 60.00°
Sites, in units of the cell vectors:
Au1 0.870 0.870 0.389
Cu1 0.242 0.242 0.274
Au2 0.398 0.398 0.807
Au3 0.602 0.602 0.193
Cu2 0.758 0.758 0.726
Pm1 0.000 0.000 0.000
Au4 0.130 0.130 0.611
Ga1 0.500 0.500 0.500

=====

Density functional theory data (PBE-GGA) for an optimized crystal structure of CdSnRu2.

Magnetic moment in μB/f.u.: 0.638
SG: No. 123
E_form in eV/atom: 0.16

a = 3.214 Å, b = 4.568 Å, c = 4.568 Å
α = 90.00°, β = 90.00°, γ = 90.00°
Sites, in units of the cell vectors:
Sn1 0.500 0.000 0.000
Ru1 0.000 0.500 0.000
Ru2 0.000 0.000 0.500
Cd1 0.500 0.500 0.500

=====

Density functional theory data (PBE-GGA) for an optimized crystal structure of PaMoP.

Magnetic moment in μB/f.u.: 0.002
Excess energy over the best structure of this formula in the dataset in meV per atom: 0
SG: No. 187
E_form in eV/atom: -0.49

a = 3.600 Å, b = 4.283 Å, c = 4.283 Å
α = 120.00°, β = 90.00°, γ = 90.00°
Sites, in units of the cell vectors:
P1 0.167 0.000 0.000
Mo1 0.167 0.333 0.667
Pa1 0.667 0.667 0.333

=====

Density functional theory data (PBE-GGA) for an optimized crystal structure of AcMg2Cu2Si.

Magnetic moment in μB/f.u.: 0.000
Uncorrected formation energy in eV per atom: -0.099
SG: No. 139

a = 4.772 Å, b = 4.772 Å, c = 6.875 Å
α = 110.31°, β = 110.31°, γ = 90.00°
Sites, in units of the cell vectors:
Cu1 0.817 0.817 0.634
Si1 0.000 0.000 0.000
Cu2 0.183 0.183 0.366
Mg1 0.250 0.750 0.500
Mg2 0.750 0.250 0.500
Ac1 0.500 0.500 0.000

=====

Density functional theory data (PBE-GGA) for an optimized crystal structure of ReAg2.

Magnetic moment in μB/f.u.: 1.191
Excess energy over the best structure of this formula in the dataset in meV per atom: 487
SG: No. 189
E_form in eV/atom: 0.90

a = 8.162 Å, b = 8.162 Å, c = 2.650 Å
α = 90.00°, β = 90.00°, γ = 120.00°
Sites, in units of the cell vectors:
Ag1 0.692 0.692 0.000
Re1 0.333 0.667 0.000
Ag2 0.308 0.000 0.000
Ag3 0.640 0.000 0.500
Re2 0.667 0.333 0.000
Ag4 0.000 0.640 0.500
Re3 0.000 0.000 0.500
Ag5 0.360 0.360 0.500
Ag6 0.000 0.308 0.000

=====

Density functional theory data (PBE-GGA) for an optimized crystal structure of Pm2GaHRu.

Magnetic moment in μB/f.u.: 0.000
DFT total energy in eV/atom: -5.513
SG: No. 11

a = 3.947 Å, b = 6.310 Å, c = 8.682 Å
α = 110.32°, β = 90.00°, γ = 90.00°
Sites, in units of the cell vectors:
H1 0.250 0.897 0.728
Ru1 0.250 0.659 0.784
Ru2 0.750 0.341 0.216
Pm1 0.250 0.227 0.425
Ga1 0.250 0.643 0.278
Ga2 0.750 0.357 0.722
H2 0.750 0.103 0.272
Pm2 0.750 0.769 0.042
Pm3 0.250 0.231 0.958
Pm4 0.750 0.773 0.575

=====

Density functional theory data (PBE-GGA) for an optimized crystal structure of ZrAlCu2C.

Magnetic moment in μB/f.u.: 0.000
SG: No. 123
E_form in eV/atom: 0.79

a = 4.531 Å, b = 3.764 Å, c = 4.531 Å
α = 90.00°, β = 90.00°, γ = 90.00°
Sites, in units of the cell vectors:
Cu1 0.500 0.000 0.000
Al1 0.000 0.000 0.000
Zr1 0.500 0.500 0.500
Cu2 0.000 0.000 0.500
C1 0.000 0.500 0.000

=====

Density functional theory data (PBE-GGA) for an optimized crystal structure of Pm4GePb.

Magnetic moment in μB/f.u.: 0.000
SG: No. 14
E_form in eV/atom: -0.29

a = 7.383 Å, b = 7.406 Å, c = 7.538 Å
α = 90.00°, β = 90.47°, γ = 90.00°
Sites, in units of the cell vectors:
Pm1 0.676 0.670 0.651
Pb1 0.000 0.000 0.000
Pm2 0.824 0.170 0.349
Ge1 0.000 0.500 0.500
Pm3 0.146 0.347 0.823
Pm4 0.354 0.847 0.177
Pm5 0.854 0.653 0.177
Pm6 0.646 0.153 0.823
Pm7 0.324 0.330 0.349
Ge2 0.500 0.000 0.500
Pb2 0.500 0.500 0.000
Pm8 0.176 0.830 0.651

=====

Density functional theory data (PBE-GGA) for an optimized crystal structure of CuTeF2.

Magnetic moment in μB/f.u.: 0.000
Excess energy over the best structure of this formula in the dataset in meV per atom: 510
Uncorrected formation energy in eV per atom: -0.468
SG: No. 225

a = 4.357 Å, b = 4.357 Å, c = 4.357 Å
α = 60.00°, β = 60.00°, γ = 60.00°
Sites, in units of the cell vectors:
F1 0.750 0.750 0.750
Te1 0.500 0.500 0.500
F2 0.250 0.250 0.250
Cu1 0.000 0.000 0.000

=====

Density functional theory data (PBE-GGA) for an optimized crystal structure of TlCuTe2.

Magnetic moment in μB/f.u.: 0.000
Uncorrected formation energy in eV per atom: -0.056
SG: No. 164

a = 10.404 Å, b = 4.036 Å, c = 4.036 Å
α = 119.92°, β = 125.53°, γ = 54.47°
Sites, in units of the cell vectors:
Te1 0.314 0.019 0.981
Cu1 0.500 0.500 0.500
Te2 0.686 0.981 0.019
Tl1 0.000 0.000 0.000

=====

Density functional theory data (PBE-GGA) for an optimized crystal structure of LaY2CdOs.

Magnetic moment in μB/f.u.: 0.000
SG: No. 123
E_form in eV/atom: -0.07

a = 5.433 Å, b = 5.433 Å, c = 5.526 Å
α = 90.00°, β = 90.00°, γ = 90.00°
Sites, in units of the cell vectors:
Os1 0.000 0.000 0.000
Y1 0.000 0.500 0.000
Cd1 0.500 0.500 0.500
Y2 0.500 0.000 0.000
La1 0.000 0.000 0.500

=====

Density functional theory data (PBE-GGA) for an optimized crystal structure of RbMg2CdPd.

Magnetic moment in μB/f.u.: 0.000
SG: No. 123
E_form in eV/atom: -0.19

a = 5.189 Å, b = 5.189 Å, c = 5.421 Å
α = 90.00°, β = 90.00°, γ = 90.00°
Sites, in units of the cell vectors:
Cd1 0.000 0.000 0.500
Pd1 0.000 0.000 0.000
Mg1 0.000 0.500 0.000
Mg2 0.500 0.000 0.000
Rb1 0.500 0.500 0.500

=====

Density functional theory data (PBE-GGA) for an optimized crystal structure of BaMg4Zn.

Magnetic moment in μB/f.u.: 0.000
Excess energy over the best structure of this formula in the dataset in meV per atom: 186
SG: No. 216
E_form in eV/atom: 0.08

a = 6.203 Å, b = 6.203 Å, c = 6.203 Å
α = 60.00°, β = 60.00°, γ = 60.00°
Sites, in units of the cell vectors:
Zn1 0.750 0.750 0.750
Mg1 0.376 0.376 0.376
Mg2 0.376 0.872 0.376
Mg3 0.376 0.376 0.872
Ba1 0.000 0.000 0.000
Mg4 0.872 0.376 0.376

=====

Density functional theory data (PBE-GGA) for an optimized crystal structure of Y3ZrSi.

Magnetic moment in μB/f.u.: 0.000
Excess energy over the best structure of this formula in the dataset in meV per atom: 670
Uncorrected formation energy in eV per atom: 0.871
SG: No. 221

a = 5.404 Å, b = 5.404 Å, c = 5.404 Å
α = 90.00°, β = 90.00°, γ = 90.00°
Sites, in units of the cell vectors:
Y1 0.000 0.500 0.000
Y2 0.000 0.000 0.500
Y3 0.500 0.000 0.000
Si1 0.500 0.500 0.500
Zr1 0.000 0.000 0.000

=====

Density functional theory data (PBE-GGA) for an optimized crystal structure of ErCuAg2.

Magnetic moment in μB/f.u.: 0.000
Excess energy over the best structure of this formula in the dataset in meV per atom: 0
SG: No. 225
E_form in eV/atom: -0.11

a = 4.771 Å, b = 4.771 Å, c = 4.771 Å
α = 60.00°, β = 60.00°, γ = 60.00°
Sites, in units of the cell vectors:
Cu1 0.500 0.500 0.500
Ag1 0.250 0.250 0.250
Ag2 0.750 0.750 0.750
Er1 0.000 0.000 0.000

=====

Density functional theory data (PBE-GGA) for an optimized crystal structure of CdP2.

Magnetic moment in μB/f.u.: 0.000
SG: No. 63
E_form in eV/atom: 0.25

a = 10.175 Å, b = 10.175 Å, c = 3.272 Å
α = 90.00°, β = 90.00°, γ = 160.11°
Sites, in units of the cell vectors:
P1 0.737 0.263 0.750
P2 0.462 0.538 0.750
Cd1 0.877 0.123 0.250
Cd2 0.123 0.877 0.750
P3 0.263 0.737 0.250
P4 0.538 0.462 0.250

=====

Density functional theory data (PBE-GGA) for an optimized crystal structure of ErMn2Fe9.

Magnetic moment in μB/f.u.: 22.497
SG: No. 166
E_form in eV/atom: 0.08

a = 4.818 Å, b = 4.818 Å, c = 8.220 Å
α = 72.96°, β = 72.96°, γ = 60.00°
Sites, in units of the cell vectors:
Mn1 0.147 0.147 0.560
Fe1 0.500 0.500 0.500
Fe2 0.590 0.082 0.739
Fe3 0.918 0.410 0.261
Fe4 0.410 0.410 0.261
Fe5 0.590 0.590 0.739
Fe6 0.082 0.590 0.739
Er1 0.000 0.000 0.000
Mn2 0.853 0.853 0.440
Fe7 0.410 0.918 0.261
Fe8 0.667 0.667 0.000
Fe9 0.333 0.333 0.000

=====

Density functional theory data (PBE-GGA) for an optimized crystal structure of LiCa2La.

Magnetic moment in μB/f.u.: 0.000
Excess energy over the best structure of this formula in the dataset in meV per atom: 10
SG: No. 166
E_form in eV/atom: 0.08

a = 12.097 Å, b = 12.097 Å, c = 12.097 Å
α = 17.85°, β = 17.85°, γ = 17.85°
Sites, in units of the cell vectors:
La1 0.250 0.250 0.250
Li1 0.750 0.750 0.750
Ca1 0.495 0.495 0.495
Ca2 0.005 0.005 0.005

=====

Density functional theory data (PBE-GGA) for an optimized crystal structure of Cs2IrOsF6.

Magnetic moment in μB/f.u.: 3.003
Uncorrected formation energy in eV per atom: -1.374
SG: No. 139

a = 6.322 Å, b = 6.322 Å, c = 6.318 Å
α = 59.98°, β = 59.98°, γ = 90.00°
Sites, in units of the cell vectors:
F1 0.734 0.266 0.000
F2 0.734 0.734 0.000
F3 0.266 0.266 0.468
Os1 0.500 0.500 0.000
Cs1 0.750 0.250 0.500
Ir1 0.000 0.000 0.000
F4 0.734 0.734 0.532
F5 0.266 0.266 0.000
F6 0.266 0.734 0.000
Cs2 0.250 0.750 0.500

=====

Density functional theory data (PBE-GGA) for an optimized crystal structure of MgAsPt5.

Magnetic moment in μB/f.u.: 0.000
SG: No. 123
E_form in eV/atom: -0.50

a = 3.986 Å, b = 3.986 Å, c = 7.168 Å
α = 90.00°, β = 90.00°, γ = 90.00°
Sites, in units of the cell vectors:
As1 0.500 0.500 0.500
Mg1 0.000 0.000 0.000
Pt1 0.500 0.500 0.000
Pt2 0.000 0.500 0.279
Pt3 0.000 0.500 0.721
Pt4 0.500 0.000 0.279
Pt5 0.500 0.000 0.721